Record 1
DFT (PBE) results for an optimized crystal structure of NdH3.

```
data_NdH3
_chemical_formula_sum 'Nd1 H3'
_cell_length_a 3.4453
_cell_length_b 3.4453
_cell_length_c 3.4453
_cell_angle_alpha 90.00
_cell_angle_beta 90.00
_cell_angle_gamma 90.00
_symmetry_space_group_name_H-M 'P m -3 m'
_symmetry_Int_Tables_number 221
_symmetry_space_group_name_Hall '-P 4 2 3'
loop_
_atom_site_label
_atom_site_fract_x
_atom_site_fract_y
_atom_site_fract_z
Nd1 0.0000 0.0000 0.0000
H1 0.0000 0.5000 0.5000
```

Results
Total energy in eV/atom: -4.084



Record 2
DFT (PBE) results for an optimized crystal structure of NdH5.

```
data_NdH5
_chemical_formula_sum 'Nd2 H10'
_cell_length_a 3.4432
_cell_length_b 7.5734
_cell_length_c 3.4261
_cell_angle_alpha 90.00
_cell_angle_beta 90.00
_cell_angle_gamma 90.00
_symmetry_space_group_name_H-M 'C m m m'
_symmetry_Int_Tables_number 65
_symmetry_space_group_name_Hall '-C 2 2'
loop_
_atom_site_label
_atom_site_fract_x
_atom_site_fract_y
_atom_site_fract_z
Nd1 0.0000 0.0000 0.0000
H1 0.0000 0.2555 0.5000
H2 0.0000 0.3020 0.0000
H3 0.0000 0.5000 0.5000
```

Results
Total energy in eV/atom: -3.363



Record 3
DFT (PBE) results for an optimized crystal structure of Nd2NiH.

```
data_Nd2NiH
_chemical_formula_sum 'Nd6 Ni3 H3'
_cell_length_a 3.9663
_cell_length_b 3.9663
_cell_length_c 18.5602
_cell_angle_alpha 90.00
_cell_angle_beta 90.00
_cell_angle_gamma 120.00
_symmetry_space_group_name_H-M 'R -3 m'
_symmetry_Int_Tables_number 166
_symmetry_space_group_name_Hall '-R 3 2"'
loop_
_atom_site_label
_atom_site_fract_x
_atom_site_fract_y
_atom_site_fract_z
Nd1 0.0000 0.0000 0.2456
Ni1 0.0000 0.0000 0.0000
H1 0.0000 0.0000 0.5000
```

Results
Total energy in eV/atom: -4.908



Record 4
DFT (PBE) results for an optimized crystal structure of Nd2NiH.

```
data_Nd2NiH
_chemical_formula_sum 'Nd6 Ni3 H3'
_cell_length_a 3.7770
_cell_length_b 3.7770
_cell_length_c 20.5733
_cell_angle_alpha 90.00
_cell_angle_beta 90.00
_cell_angle_gamma 120.00
_symmetry_space_group_name_H-M 'R 3 m'
_symmetry_Int_Tables_number 160
_symmetry_space_group_name_Hall 'R 3 -2"'
loop_
_atom_site_label
_atom_site_fract_x
_atom_site_fract_y
_atom_site_fract_z
Nd1 0.0000 0.0000 0.0000
Nd2 0.0000 0.0000 0.1656
Ni1 0.0000 0.0000 0.5826
H1 0.0000 0.0000 0.4171
```

Results
Total energy in eV/atom: -4.835



Record 5
DFT (PBE) results for an optimized crystal structure of NdNi3H3.

```
data_NdNi3H3
_chemical_formula_sum 'Nd8 Ni24 H24'
_cell_length_a 8.7542
_cell_length_b 8.7542
_cell_length_c 8.7542
_cell_angle_alpha 90.00
_cell_angle_beta 90.00
_cell_angle_gamma 90.00
_symmetry_space_group_name_H-M 'F m -3 m'
_symmetry_Int_Tables_number 225
_symmetry_space_group_name_Hall '-F 4 2 3'
loop_
_atom_site_label
_atom_site_fract_x
_atom_site_fract_y
_atom_site_fract_z
Nd1 0.2500 0.2500 0.2500
Ni1 0.0000 0.0000 0.1904
H1 0.0000 0.0000 0.3587
```

Results
Total energy in eV/atom: -4.441



Record 6
DFT (PBE) results for an optimized crystal structure of NdNi3H6.

```
data_NdNi3H6
_chemical_formula_sum 'Nd3 Ni9 H18'
_cell_length_a 4.4921
_cell_length_b 4.4921
_cell_length_c 14.5938
_cell_angle_alpha 90.00
_cell_angle_beta 90.00
_cell_angle_gamma 120.00
_symmetry_space_group_name_H-M 'R 3'
_symmetry_Int_Tables_number 146
_symmetry_space_group_name_Hall 'R 3'
loop_
_atom_site_label
_atom_site_fract_x
_atom_site_fract_y
_atom_site_fract_z
Nd1 0.0000 0.0000 0.0000
Ni1 0.0000 0.0000 0.2085
Ni2 0.0000 0.0000 0.5358
Ni3 0.0000 0.0000 0.8052
H1 0.0282 0.3339 0.1362
H2 0.1587 0.8232 0.2764
```

Results
Total energy in eV/atom: -4.492



Record 7
DFT (PBE) results for an optimized crystal structure of Nd2NiH.

```
data_Nd2NiH
_chemical_formula_sum 'Nd2 Ni1 H1'
_cell_length_a 3.3284
_cell_length_b 3.3284
_cell_length_c 7.0317
_cell_angle_alpha 90.00
_cell_angle_beta 90.00
_cell_angle_gamma 90.00
_symmetry_space_group_name_H-M 'P 4/m m m'
_symmetry_Int_Tables_number 123
_symmetry_space_group_name_Hall '-P 4 2'
loop_
_atom_site_label
_atom_site_fract_x
_atom_site_fract_y
_atom_site_fract_z
Nd1 0.0000 0.0000 0.2467
Ni1 0.5000 0.5000 0.5000
H1 0.5000 0.5000 0.0000
```

Results
Total energy in eV/atom: -4.730



Record 8
DFT (PBE) results for an optimized crystal structure of Nd2NiH8.

```
data_Nd2NiH8
_chemical_formula_sum 'Nd4 Ni2 H16'
_cell_length_a 13.3033
_cell_length_b 3.8787
_cell_length_c 4.3546
_cell_angle_alpha 90.00
_cell_angle_beta 109.06
_cell_angle_gamma 90.00
_symmetry_space_group_name_H-M 'C 1 2/m 1'
_symmetry_Int_Tables_number 12
_symmetry_space_group_name_Hall '-C 2y'
loop_
_atom_site_label
_atom_site_fract_x
_atom_site_fract_y
_atom_site_fract_z
Nd1 0.1450 0.0000 0.1453
Ni1 0.0000 0.5000 0.5000
H1 0.0000 0.0000 0.2707
H2 0.0960 0.5000 0.3630
H3 0.0983 0.5000 0.8221
H4 0.2365 0.0000 0.7358
```

Results
Total energy in eV/atom: -4.114



Record 9
DFT (PBE) results for an optimized crystal structure of NdNi2H7.

```
data_NdNi2H7
_chemical_formula_sum 'Nd2 Ni4 H14'
_cell_length_a 4.7824
_cell_length_b 8.7264
_cell_length_c 3.6062
_cell_angle_alpha 90.00
_cell_angle_beta 90.00
_cell_angle_gamma 90.00
_symmetry_space_group_name_H-M 'C m m m'
_symmetry_Int_Tables_number 65
_symmetry_space_group_name_Hall '-C 2 2'
loop_
_atom_site_label
_atom_site_fract_x
_atom_site_fract_y
_atom_site_fract_z
Nd1 0.0000 0.0000 0.0000
Ni1 0.0000 0.3136 0.5000
H1 0.0000 0.3244 0.0000
H2 0.0000 0.5000 0.5000
H3 0.1752 0.1462 0.5000
```

Results
Total energy in eV/atom: -4.176



Record 10
DFT (PBE) results for an optimized crystal structure of NdNi2H.

```
data_NdNi2H
_chemical_formula_sum 'Nd3 Ni6 H3'
_cell_length_a 3.0398
_cell_length_b 3.0398
_cell_length_c 21.0214
_cell_angle_alpha 90.00
_cell_angle_beta 90.00
_cell_angle_gamma 120.00
_symmetry_space_group_name_H-M 'R -3 m'
_symmetry_Int_Tables_number 166
_symmetry_space_group_name_Hall '-R 3 2"'
loop_
_atom_site_label
_atom_site_fract_x
_atom_site_fract_y
_atom_site_fract_z
Nd1 0.0000 0.0000 0.0000
Ni1 0.0000 0.0000 0.1257
H1 0.0000 0.0000 0.5000
```

Results
Total energy in eV/atom: -4.455



Record 11
DFT (PBE) results for an optimized crystal structure of Nd2NiHPd6.

```
data_Nd2NiHPd6
_chemical_formula_sum 'Nd8 Ni4 H4 Pd24'
_cell_length_a 8.8339
_cell_length_b 8.8339
_cell_length_c 8.8339
_cell_angle_alpha 90.00
_cell_angle_beta 90.00
_cell_angle_gamma 90.00
_symmetry_space_group_name_H-M 'F m -3 m'
_symmetry_Int_Tables_number 225
_symmetry_space_group_name_Hall '-F 4 2 3'
loop_
_atom_site_label
_atom_site_fract_x
_atom_site_fract_y
_atom_site_fract_z
Nd1 0.2500 0.2500 0.2500
Ni1 0.0000 0.0000 0.0000
H1 0.0000 0.0000 0.5000
Pd1 0.0000 0.0000 0.2737
```

Results
Total energy in eV/atom: -5.485



Record 12
DFT (PBE) results for an optimized crystal structure of NdNiH6Pd.

```
data_NdNiH6Pd
_chemical_formula_sum 'Nd1 Ni1 H6 Pd1'
_cell_length_a 4.6240
_cell_length_b 4.6240
_cell_length_c 4.2873
_cell_angle_alpha 90.00
_cell_angle_beta 90.00
_cell_angle_gamma 120.00
_symmetry_space_group_name_H-M 'P -6 m 2'
_symmetry_Int_Tables_number 187
_symmetry_space_group_name_Hall 'P -6 2'
loop_
_atom_site_label
_atom_site_fract_x
_atom_site_fract_y
_atom_site_fract_z
Nd1 0.0000 0.0000 0.0000
Ni1 0.6667 0.3333 0.5000
H1 0.5135 0.0269 0.2467
Pd1 0.3333 0.6667 0.5000
```

Results
Total energy in eV/atom: -4.345



Calculated Fermi-level density of states (states/eV/atom), listed in the same order as above: 0.0599; 0.1522; 0.8026; 0.7171; 0.7675; 0.2438; 0.9251; 0.1407; 0.2058; 0.4630; 0.6509; 0.1284
Calculated calculated density (g cm⁻³), listed in the same order as above: 5.980; 5.549; 6.860; 6.824; 6.403; 6.375; 7.422; 5.555; 5.929; 7.778; 9.507; 6.597